SrMnO3 | PBE+U | optimized geometry

Output
raw total energy = -6.428 eV per atom
space-group type = Amm2
Fermi-level density of states = 0.000 states/eV/cell

a b c (Å): 3.047 5.906 5.906
angles (deg): 111.93 90.00 90.00
Site moments in Bohr magnetons follow the coordinates.
Atoms (fractional coordinates):
Sr (0.500, 0.067, 0.933)  0.00
Mn (0.000, 0.421, 0.579)  3.21
O (0.500, 0.268, 0.366)  -0.11
O (0.500, 0.634, 0.732)  -0.11
O (0.000, 0.239, 0.761)  -0.05